1.
Material: Na2CuRhF8
Method: DFT, PBE
State: relaxed

POSCAR file:
```
Na2CuRhF8
1.0
5.020 -0.184 0.087
-0.180 4.979 -0.101
0.122 -0.120 6.713
Na Cu Rh F
2 1 1 8
direct
0.484 0.515 0.759
0.516 0.485 0.241
0.000 0.000 0.000
0.000 0.000 0.500
0.185 0.795 0.294
0.725 0.735 0.000
0.850 0.161 0.265
0.815 0.205 0.706
0.275 0.265 0.000
0.150 0.839 0.735
0.706 0.725 0.501
0.294 0.275 0.499
```

Total moment ... 1.52 μB per formula unit
Formation energy from raw total energies ... -1.9744 eV per atom
Space group ... P-1



2.
Material: ScZnFe2
Method: DFT, PBE
State: relaxed

POSCAR file:
```
ScZnFe2
1.0
5.090 0.005 0.015
-2.334 4.396 -0.002
0.422 0.807 2.546
Fe Sc Zn
2 1 1
direct
0.000 0.000 0.000
0.500 0.000 0.500
0.000 0.500 0.500
0.500 0.500 0.000
```

Total moment ... 3.45 μB per formula unit
Space group ... C2/m
ΔE_f ... 2.6 kcal/mol of atoms



3.
Material: La2DyHo4Sc
Method: DFT, PBE
State: relaxed

POSCAR file:
```
La2DyHo4Sc
1.0
-3.831 -8.559 1.028
0.995 -1.921 -9.182
7.443 5.642 7.187
La Dy Ho Sc
4 2 8 2
direct
0.500 0.000 0.000
0.500 0.000 0.500
0.000 0.000 0.500
0.500 0.500 0.000
0.000 0.500 0.000
0.000 0.500 0.500
0.233 0.763 0.998
0.737 0.267 0.502
0.263 0.733 0.498
0.767 0.237 0.002
0.750 0.747 0.980
0.753 0.750 0.520
0.247 0.250 0.480
0.250 0.253 0.020
0.500 0.500 0.500
0.000 0.000 0.000
```

Total moment ... 0.23 μB per formula unit
Space group ... C2/c
ΔE_f ... 9.5 kcal/mol of atoms



4.
Material: LiTiAg2B
Method: DFT, PBE
State: relaxed

POSCAR file:
```
LiTiAg2B
1.0
4.282 0.000 0.000
0.000 4.070 0.000
0.000 0.000 4.282
B Li Ag Ti
1 1 2 1
direct
0.000 0.500 0.000
0.000 0.000 0.000
0.000 0.000 0.500
0.500 0.000 0.000
0.500 0.500 0.500
```

Total moment ... 0.00 μB per formula unit
Space group ... P4/mmm
ΔE_f ... 19.9 kcal/mol of atoms



5.
Material: Y2TiInC
Method: DFT, PBE
State: relaxed

POSCAR file:
```
Y2TiInC
1.0
5.858 0.000 0.000
0.000 4.073 0.000
0.000 0.000 5.858
Y C Ti In
2 1 1 1
direct
0.000 0.000 0.500
0.500 0.000 0.000
0.000 0.500 0.000
0.500 0.500 0.500
0.000 0.000 0.000
```

Total moment ... 3.56 μB per formula unit
Space group ... P4/mmm
Relative energy among the computed polymorphs ... 1879.8 meV/atom
ΔE_f ... 32.8 kcal/mol of atoms



6.
Material: Ac3AgIrO
Method: DFT, PBE
State: relaxed

POSCAR file:
```
Ac3AgIrO
1.0
4.372 0.000 0.000
0.000 9.146 0.766
0.000 -2.711 9.213
Ac Ag Ir O
6 2 2 2
direct
0.250 0.817 0.470
0.750 0.877 0.144
0.750 0.439 0.161
0.750 0.183 0.530
0.250 0.561 0.839
0.250 0.123 0.856
0.750 0.822 0.770
0.250 0.178 0.230
0.250 0.662 0.154
0.750 0.338 0.846
0.250 0.081 0.592
0.750 0.919 0.408
```

Total moment ... 0.00 μB per formula unit
Formation energy from raw total energies ... -1.2591 eV per atom
Space group ... P2_1/m



7.
Material: DyMgPb
Method: DFT, PBE
State: relaxed

POSCAR file:
```
DyMgPb
1.0
-2.030 -0.536 -2.898
0.155 -4.961 0.808
-3.661 2.769 2.053
Pb Mg Dy
1 1 1
direct
0.166 0.333 0.667
0.167 0.000 0.000
0.667 0.667 0.333
```

Total moment ... 0.00 μB per formula unit
Space group ... P-6m2
ΔE_f ... -6.8 kcal/mol of atoms



8.
Material: Ba2BeSi
Method: DFT, PBE
State: relaxed

POSCAR file:
```
Ba2BeSi
1.0
5.512 0.000 0.000
2.756 4.773 0.000
2.756 1.591 4.500
Be Si Ba
1 1 2
direct
0.500 0.500 0.500
0.750 0.750 0.750
0.000 0.000 0.000
0.250 0.250 0.250
```

Total moment ... 0.00 μB per formula unit
Formation energy from raw total energies ... 0.5949 eV per atom
Space group ... F-43m
Relative energy among the computed polymorphs ... 749.0 meV/atom



9.
Material: Ho4CN2O
Method: DFT, PBE
State: relaxed

POSCAR file:
```
Ho4CN2O
1.0
-1.321 4.488 1.434
-4.005 -1.854 2.114
5.162 -1.925 2.428
Ho C N O
4 1 2 1
direct
0.937 0.437 0.000
0.437 0.937 0.000
0.184 0.184 0.494
0.690 0.690 0.506
0.937 0.937 0.000
0.187 0.687 0.500
0.687 0.187 0.500
0.437 0.437 0.000
```

Total moment ... 0.00 μB per formula unit
Formation energy from raw total energies ... -1.7565 eV per atom
Space group ... I4/mmm



10.
Material: Sr4Se3Cl
Method: DFT, PBE
State: relaxed

POSCAR file:
```
Sr4Se3Cl
1.0
-1.491 -4.077 -4.463
5.689 -2.500 0.383
-4.146 -0.704 6.371
Sr Se Cl
4 3 1
direct
0.000 0.500 0.000
0.500 0.000 0.000
0.255 0.255 0.510
0.745 0.745 0.490
0.500 0.500 0.000
0.750 0.250 0.500
0.250 0.750 0.500
0.000 0.000 0.000
```

Total moment ... 0.00 μB per formula unit
Formation energy from raw total energies ... -1.9686 eV per atom
Space group ... I4/mmm



11.
Material: Ti3HRh
Method: DFT, PBE
State: relaxed

POSCAR file:
```
Ti3HRh
1.0
-1.509 -4.890 0.647
2.853 0.388 6.611
-6.537 2.616 1.555
Ti H Rh
12 4 4
direct
0.616 0.201 0.059
0.116 0.059 0.201
0.884 0.941 0.799
0.384 0.799 0.941
0.905 0.217 0.541
0.405 0.541 0.217
0.595 0.459 0.783
0.095 0.783 0.459
0.882 0.677 0.067
0.382 0.067 0.677
0.618 0.933 0.323
0.118 0.323 0.933
0.250 0.803 0.197
0.250 0.063 0.937
0.750 0.197 0.803
0.750 0.937 0.063
0.897 0.449 0.300
0.397 0.300 0.449
0.603 0.700 0.551
0.103 0.551 0.700
```

Total moment ... 0.00 μB per formula unit
Space group ... C2/c
Relative energy among the computed polymorphs ... 1.9 meV/atom



12.
Material: SmHoErMg
Method: DFT, PBE
State: relaxed

POSCAR file:
```
SmHoErMg
1.0
-1.221 -3.375 0.280
2.942 -0.910 1.866
-4.270 2.191 7.800
Sm Ho Er Mg
1 1 1 1
direct
0.000 0.000 0.072
0.500 0.500 0.802
0.500 0.500 0.341
0.000 0.000 0.570
```

Total moment ... 0.00 μB per formula unit
Space group ... P4mm
Relative energy among the computed polymorphs ... 0.0 meV/atom
ΔE_f ... -0.6 kcal/mol of atoms



13.
Material: Ce2NpTiN5
Method: DFT, PBE
State: relaxed

POSCAR file:
```
Ce2NpTiN5
1.0
-2.150 -0.794 -2.630
5.142 -4.862 -0.422
-5.404 -6.262 6.309
Ce Np Ti N
4 2 2 10
direct
0.859 0.719 0.793
0.105 0.210 0.690
0.141 0.281 0.293
0.895 0.790 0.190
0.789 0.579 0.509
0.211 0.421 0.009
0.516 0.032 0.964
0.484 0.968 0.464
0.375 0.749 0.010
0.683 0.365 0.881
0.488 0.977 0.783
0.278 0.555 0.650
0.950 0.900 0.543
0.625 0.251 0.510
0.317 0.635 0.381
0.512 0.023 0.283
0.722 0.445 0.150
0.050 0.100 0.043
```

Total moment ... 3.94 μB per formula unit
Formation energy from raw total energies ... -1.3505 eV per atom
Space group ... Cmc2_1



14.
Material: SbTe2SF
Method: DFT, PBE
State: relaxed

POSCAR file:
```
SbTe2SF
1.0
5.216 0.000 0.000
0.000 5.216 0.000
0.000 0.000 5.198
Sb S Te F
1 1 2 1
direct
0.000 0.000 0.500
0.000 0.000 0.000
0.000 0.500 0.000
0.500 0.000 0.000
0.500 0.500 0.500
```

Total moment ... 0.00 μB per formula unit
Formation energy from raw total energies ... 0.3082 eV per atom
Space group ... P4/mmm
Relative energy among the computed polymorphs ... 0.0 meV/atom



15.
Material: ScFe2Br8
Method: DFT, PBE
State: relaxed

POSCAR file:
```
ScFe2Br8
1.0
6.387 0.115 0.087
0.213 8.054 -0.338
0.213 1.843 7.848
Sc Fe Br
1 2 8
direct
0.000 0.000 0.000
0.643 0.810 0.810
0.357 0.190 0.190
0.224 0.275 0.907
0.776 0.093 0.725
0.263 0.819 0.819
0.737 0.181 0.181
0.224 0.907 0.275
0.776 0.725 0.093
0.756 0.632 0.632
0.244 0.368 0.368
```

Total moment ... 9.00 μB per formula unit
Formation energy from raw total energies ... -0.8959 eV per atom
Space group ... C2/m



16.
Material: ZrTlF2
Method: DFT, PBE
State: relaxed

POSCAR file:
```
ZrTlF2
1.0
4.468 0.000 0.000
0.000 4.468 0.000
2.234 2.234 7.185
Tl Zr F
2 2 4
direct
0.000 0.000 0.000
0.750 0.250 0.500
0.500 0.500 0.000
0.250 0.750 0.500
0.448 0.125 0.250
0.302 0.625 0.250
0.375 0.552 0.750
0.875 0.698 0.750
```

Total moment ... 0.00 μB per formula unit
Formation energy from raw total energies ... -1.7984 eV per atom
Space group ... I-42d
Relative energy among the computed polymorphs ... 93.4 meV/atom



17.
Material: SrEuSn
Method: DFT, PBE
State: relaxed

POSCAR file:
```
SrEuSn
1.0
-2.111 3.745 3.588
-1.982 -1.682 4.960
2.779 1.253 4.697
Eu Sr Sn
1 1 1
direct
0.000 0.000 0.000
0.500 0.500 0.500
0.250 0.250 0.250
```

Total moment ... 7.00 μB per formula unit
Space group ... F-43m
ΔE_f ... -12.6 kcal/mol of atoms



18.
Material: LaTa2Rh
Method: DFT, PBE
State: relaxed

POSCAR file:
```
LaTa2Rh
1.0
10.245 -1.507 -0.013
10.245 1.507 -0.013
10.026 0.000 2.589
La Ta Rh
1 2 1
direct
0.500 0.500 0.500
0.737 0.737 0.737
0.263 0.263 0.263
0.000 0.000 0.000
```

Total moment ... 0.00 μB per formula unit
Space group ... R-3m
Relative energy among the computed polymorphs ... 383.7 meV/atom
ΔE_f ... 7.2 kcal/mol of atoms



19.
Material: KSrNi2
Method: DFT, PBE
State: relaxed

POSCAR file:
```
KSrNi2
1.0
4.239 0.000 0.000
0.000 4.672 0.081
0.000 2.237 5.595
K Ni Sr
1 2 1
direct
0.500 0.776 0.822
0.000 0.152 0.071
0.500 0.082 0.212
0.000 0.490 0.396
```

Total moment ... 0.29 μB per formula unit
Space group ... Amm2
Relative energy among the computed polymorphs ... 126.8 meV/atom
ΔE_f ... 6.6 kcal/mol of atoms



20.
Material: Li4Tl2Pb3
Method: DFT, PBE
State: relaxed

POSCAR file:
```
Li4Tl2Pb3
1.0
5.019 0.001 0.001
2.509 4.372 0.172
-0.001 -0.343 9.679
Li Tl Pb
4 2 3
direct
0.666 0.668 0.891
0.002 0.995 0.322
0.998 0.005 0.678
0.334 0.332 0.109
0.332 0.336 0.797
0.668 0.664 0.203
0.334 0.332 0.428
0.000 0.000 0.000
0.666 0.668 0.572
```

Total moment ... 0.00 μB per formula unit
Space group ... C2/m
ΔE_f ... -4.5 kcal/mol of atoms



21.
Material: ScP3Se
Method: DFT, PBE
State: relaxed

POSCAR file:
```
ScP3Se
1.0
-2.573 1.792 3.511
-3.632 0.551 -2.943
-1.531 -4.318 1.082
Sc P Se
1 3 1
direct
0.500 0.500 0.500
0.000 0.500 0.000
0.000 0.000 0.500
0.500 0.000 0.000
0.000 0.000 0.000
```

Total moment ... 0.00 μB per formula unit
Formation energy from raw total energies ... 0.5413 eV per atom
Space group ... Pm-3m
Relative energy among the computed polymorphs ... 0.0 meV/atom



22.
Material: CaPm6Nd3Y2
Method: DFT, PBE
State: relaxed

POSCAR file:
```
CaPm6Nd3Y2
1.0
-1.636 -3.172 -5.264
-1.373 -2.409 5.723
-9.469 7.482 -0.293
Ca Pm Nd Y
1 6 3 2
direct
0.000 0.000 0.000
0.916 0.576 0.750
0.744 0.744 0.250
0.084 0.424 0.250
0.576 0.916 0.750
0.256 0.256 0.750
0.424 0.084 0.250
0.166 0.834 0.500
0.834 0.166 0.500
0.500 0.500 0.500
0.333 0.667 0.000
0.667 0.333 0.000
```

Total moment ... 0.00 μB per formula unit
Space group ... C2/m
ΔE_f ... 0.9 kcal/mol of atoms



23.
Material: TiAuCl3
Method: DFT, PBE
State: relaxed

POSCAR file:
```
TiAuCl3
1.0
-1.333 4.783 1.057
-4.867 -1.169 -0.846
-0.554 -1.235 4.892
Cl Au Ti
3 1 1
direct
0.000 0.500 0.000
0.000 0.000 0.500
0.500 0.000 0.000
0.000 0.000 0.000
0.500 0.500 0.500
```

Total moment ... 2.50 μB per formula unit
Formation energy from raw total energies ... 0.1160 eV per atom
Space group ... Pm-3m
Relative energy among the computed polymorphs ... 713.5 meV/atom



24.
Material: KY2Pt9
Method: DFT, PBE
State: relaxed

POSCAR file:
```
KY2Pt9
1.0
5.260 0.000 1.565
2.397 4.682 1.565
0.096 0.059 9.296
K Y Pt
1 2 9
direct
0.000 0.000 0.000
0.862 0.862 0.415
0.138 0.138 0.585
0.668 0.668 0.996
0.332 0.332 0.004
0.500 0.500 0.500
0.412 0.412 0.257
0.919 0.412 0.257
0.412 0.919 0.257
0.588 0.588 0.743
0.588 0.081 0.743
0.081 0.588 0.743
```

Total moment ... 0.00 μB per formula unit
Space group ... R-3m
ΔE_f ... -15.6 kcal/mol of atoms